(1)
PBE BaPCl2F, relaxed; E above lowest polymorph = 3.51 eV per formula unit; D(E_F) = 2.903 states/eV/atom; crystal system = tetragonal; size of the total moment = 2.2 μB per formula unit; ΔE_f (raw) = -502 meV/atom
1.0
5.8764 0.0000 0.0000
0.0000 5.8764 0.0000
0.0000 0.0000 8.5424
Ba P Cl F
1 1 2 1
Cartesian
0.0000 0.0000 0.0000
0.0000 0.0000 4.2712
0.0000 2.9382 0.0000
2.9382 0.0000 0.0000
2.9382 2.9382 4.2712

---

(2)
PBE Ba8P3Cl4F, relaxed; D(E_F) = 0.402 states/eV/atom; crystal system = monoclinic; size of the total moment = 0.0 μB per formula unit; ΔE_f (raw) = -1785 meV/atom
1.0
7.8931 -4.5554 0.0000
7.8931 4.5554 0.0000
-5.2612 0.0000 7.5572
Ba P Cl F
8 3 4 1
Cartesian
3.9391 2.2907 5.4773
0.0002 0.0000 5.5260
2.6066 0.0000 2.0728
6.5860 2.2907 2.0800
3.9391 -2.2907 5.4773
7.9185 0.0000 5.4845
10.5249 0.0000 2.0312
6.5860 -2.2907 2.0800
-2.6306 0.0000 3.7786
1.3160 2.2777 3.7786
1.3160 -2.2777 3.7786
0.0000 0.0000 0.0000
3.9466 2.2777 0.0000
3.9466 -2.2777 0.0000
7.8931 0.0000 0.0000
5.2625 0.0000 3.7786

---

(3)
PBE BaPCl2F, relaxed; E above lowest polymorph = 0.00 eV per formula unit; D(E_F) = 0.073 states/eV/atom; crystal system = tetragonal; size of the total moment = 2.0 μB per formula unit; ΔE_f (raw) = -1204 meV/atom
1.0
5.5984 0.0000 0.0000
0.0000 5.5984 0.0000
0.0000 0.0000 3.9154
Ba P Cl F
1 1 2 1
Cartesian
0.0000 0.0000 0.0000
2.7992 2.7992 0.0000
0.0000 2.7992 1.9577
2.7992 0.0000 1.9577
2.7992 2.7992 1.9577

---

(4)
PBE BaPClF6, relaxed; D(E_F) = 0.000 states/eV/atom; crystal system = triclinic; size of the total moment = 0.1 μB per formula unit; ΔE_f (raw) = -2789 meV/atom
1.0
4.7235 0.0000 0.0000
0.7292 4.7282 0.0000
1.9388 1.5064 6.7894
Ba P Cl F
1 1 1 6
Cartesian
0.0000 0.0000 0.0000
1.6384 1.3583 2.9271
5.1451 4.2946 6.3104
0.8648 2.2398 1.7338
3.0954 5.1723 4.0623
2.8301 2.4213 2.9556
2.4141 0.5046 1.7087
5.5512 2.1574 4.0883
5.8743 4.9947 2.8024

---

(5)
PBE Ba6Rh2Cl3F, relaxed; D(E_F) = 0.472 states/eV/atom; crystal system = monoclinic; size of the total moment = 0.0 μB per formula unit; ΔE_f (raw) = -1466 meV/atom
1.0
3.8057 -6.5948 0.0000
3.8057 6.5948 0.0000
-2.5525 0.0000 7.9924
Ba Rh Cl F
6 2 3 1
Cartesian
1.2540 2.1790 1.7251
-0.0342 0.0000 6.2651
1.2540 -2.1790 1.7251
3.8048 2.1790 6.2673
5.0929 0.0000 1.7273
3.8048 -2.1790 6.2673
3.8057 2.1900 0.0000
3.8057 -2.1900 0.0000
2.5294 4.3298 3.9962
2.5294 0.0000 3.9962
2.5294 -4.3298 3.9962
0.0000 0.0000 0.0000

---

(6)
PBE BaRu2ClF, relaxed; E above lowest polymorph = 7.03 eV per formula unit; D(E_F) = 0.518 states/eV/atom; crystal system = tetragonal; size of the total moment = 4.7 μB per formula unit; ΔE_f (raw) = 1314 meV/atom
1.0
5.5524 0.0000 0.0000
0.0000 5.5524 0.0000
0.0000 0.0000 5.6467
Ba Ru Cl F
1 2 1 1
Cartesian
0.0000 0.0000 0.0000
0.0000 2.7762 0.0000
2.7762 0.0000 0.0000
0.0000 0.0000 2.8234
2.7762 2.7762 2.8234

---

(7)
PBE BaRu2ClF, relaxed; E above lowest polymorph = 0.00 eV per formula unit; D(E_F) = 1.010 states/eV/atom; crystal system = tetragonal; size of the total moment = 2.8 μB per formula unit; ΔE_f (raw) = -91 meV/atom
1.0
4.2237 0.0000 0.0000
0.0000 4.2237 0.0000
0.0000 0.0000 6.1314
Ba Ru Cl F
1 2 1 1
Cartesian
0.0000 0.0000 0.0000
0.0000 2.1119 3.0657
2.1119 0.0000 3.0657
2.1119 2.1119 0.0000
2.1119 2.1119 3.0657

---

(8)
PBE Ba2RuClF, relaxed; D(E_F) = 0.277 states/eV/atom; crystal system = tetragonal; size of the total moment = 0.0 μB per formula unit; ΔE_f (raw) = -1059 meV/atom
1.0
5.6382 0.0000 0.0000
0.0000 5.6382 0.0000
0.0000 0.0000 4.1255
Ba Ru Cl F
2 1 1 1
Cartesian
0.0000 2.8191 0.0000
2.8191 0.0000 0.0000
0.0000 0.0000 2.0627
2.8191 2.8191 2.0627
0.0000 0.0000 0.0000

---

Among the records above, which one has the highest D(E_F)? number 1

---

Which of these has the highest D(E_F)? number 1